No. 1
Entry from the Alexandria database: Pu2Cd3Au after structural relaxation (PBE).

Results
Crystal system ... orthorhombic
Energy of formation ... -0.2187 eV/atom
Total magnetization ... 1.902 μB per atom

Structure (CIF):
```
data_Pu2Cd3Au
_symmetry_space_group_name_H-M 'P m m 2'
_symmetry_Int_Tables_number 25
_cell_length_a 3.075
_cell_length_b 5.081
_cell_length_c 8.852
_cell_angle_alpha 90.00
_cell_angle_beta 90.00
_cell_angle_gamma 90.00
loop_
_symmetry_equiv_pos_as_xyz
'x,y,z'
'-x,-y,z'
'-x,y,z'
'x,-y,z'
loop_
_atom_site_label
_atom_site_type_symbol
_atom_site_fract_x
_atom_site_fract_y
_atom_site_fract_z
Pu1 Pu 0.000 0.000 0.000
Pu2 Pu 0.000 0.500 0.478
Cd1 Cd 0.500 0.000 0.654
Cd2 Cd 0.500 0.500 0.154
Cd3 Cd 0.500 0.500 0.820
Au1 Au 0.500 0.000 0.324
```

***

No. 2
Entry from the Alexandria database: Mg2Ni5B after structural relaxation (PBE).

Results
Crystal system ... tetragonal
Energy of formation ... -0.0886 eV/atom
Total magnetization ... 0.000 μB per atom

Structure (CIF):
```
data_Mg2Ni5B
_symmetry_space_group_name_H-M 'P 4/m m m'
_symmetry_Int_Tables_number 123
_symmetry_space_group_name_Hall '-P 4 2'
_cell_length_a 5.109
_cell_length_b 5.109
_cell_length_c 3.964
_cell_angle_alpha 90.00
_cell_angle_beta 90.00
_cell_angle_gamma 90.00
loop_
_atom_site_label
_atom_site_type_symbol
_atom_site_fract_x
_atom_site_fract_y
_atom_site_fract_z
Mg1 Mg 0.000 0.500 0.000
Ni1 Ni 0.000 0.000 0.000
Ni2 Ni 0.266 0.266 0.500
B1 B 0.000 0.000 0.500
```

***

No. 3
Entry from the Alexandria database: TbZr3Tl3Te8 after structural relaxation (PBE).

Results
Crystal system ... monoclinic
E_form (uncorrected) ... -0.7923 eV per atom
Total magnetization ... 0.000 μB per atom

Structure (CIF):
```
data_TbZr3Tl3Te8
_symmetry_space_group_name_H-M 'C 1 2/m 1'
_symmetry_Int_Tables_number 12
_cell_length_a 14.371
_cell_length_b 8.306
_cell_length_c 9.661
_cell_angle_alpha 90.00
_cell_angle_beta 119.65
_cell_angle_gamma 90.00
loop_
_symmetry_equiv_pos_as_xyz
'x,y,z'
'-x,-y,-z'
'-x,y,-z'
'x,-y,z'
'x+1/2,y+1/2,z'
'-x+1/2,-y+1/2,-z'
'-x+1/2,y+1/2,-z'
'x+1/2,-y+1/2,z'
loop_
_atom_site_label
_atom_site_type_symbol
_atom_site_fract_x
_atom_site_fract_y
_atom_site_fract_z
Tb1 Tb 0.000 0.000 0.000
Zr1 Zr 0.000 0.500 0.000
Zr2 Zr 0.250 0.250 0.000
Tl1 Tl 0.000 0.000 0.500
Tl2 Tl 0.250 0.250 0.500
Te1 Te 0.016 0.261 0.787
Te2 Te 0.236 0.500 0.208
Te3 Te 0.245 0.000 0.213
```

***

No. 4
Entry from the Alexandria database: NaSr2CuH after structural relaxation (PBE).

Results
Final energy ... -2.46 eV/atom
Crystal system ... tetragonal
Total magnetization ... 0.000 μB per atom

Structure (CIF):
```
data_NaSr2CuH
_symmetry_space_group_name_H-M 'P 4/m m m'
_symmetry_Int_Tables_number 123
_symmetry_space_group_name_Hall '-P 4 2'
_cell_length_a 5.274
_cell_length_b 5.274
_cell_length_c 4.600
_cell_angle_alpha 90.00
_cell_angle_beta 90.00
_cell_angle_gamma 90.00
loop_
_atom_site_label
_atom_site_type_symbol
_atom_site_fract_x
_atom_site_fract_y
_atom_site_fract_z
Na1 Na 0.000 0.000 0.000
Sr1 Sr 0.000 0.500 0.500
Cu1 Cu 0.500 0.500 0.000
H1 H 0.000 0.000 0.500
```

***

No. 5
Entry from the Alexandria database: ScTe2AuI after structural relaxation (PBE).

Results
Relative energy among the computed polymorphs ... 0.000 eV per atom
Crystal system ... tetragonal
E_form (uncorrected) ... 0.0010 eV per atom
Total magnetization ... 0.000 μB per atom

Structure (CIF):
```
data_ScTe2AuI
_symmetry_space_group_name_H-M 'P 4/m m m'
_symmetry_Int_Tables_number 123
_symmetry_space_group_name_Hall '-P 4 2'
_cell_length_a 5.611
_cell_length_b 5.611
_cell_length_c 5.509
_cell_angle_alpha 90.00
_cell_angle_beta 90.00
_cell_angle_gamma 90.00
loop_
_atom_site_label
_atom_site_type_symbol
_atom_site_fract_x
_atom_site_fract_y
_atom_site_fract_z
Sc1 Sc 0.000 0.000 0.000
Te1 Te 0.000 0.500 0.000
Au1 Au 0.500 0.500 0.500
I1 I 0.000 0.000 0.500
```

***

No. 6
Entry from the Alexandria database: MgOsRu after structural relaxation (PBE).

Results
Relative energy among the computed polymorphs ... 1.328 eV per atom
Crystal system ... cubic
Energy of formation ... 1.3983 eV/atom
Total magnetization ... 0.420 μB per atom

Structure (CIF):
```
data_MgOsRu
_symmetry_space_group_name_H-M 'F -4 3 m'
_symmetry_Int_Tables_number 216
_symmetry_space_group_name_Hall 'F -4 2 3'
_cell_length_a 5.887
_cell_length_b 5.887
_cell_length_c 5.887
_cell_angle_alpha 90.00
_cell_angle_beta 90.00
_cell_angle_gamma 90.00
loop_
_atom_site_label
_atom_site_type_symbol
_atom_site_fract_x
_atom_site_fract_y
_atom_site_fract_z
Mg1 Mg 0.000 0.000 0.000
Os1 Os 0.250 0.250 0.250
Ru1 Ru 0.250 0.250 0.750
```

***

No. 7
Entry from the Alexandria database: Ba2BeGa after structural relaxation (PBE).

Results
Relative energy among the computed polymorphs ... 0.233 eV per atom
Crystal system ... cubic
Energy of formation ... 0.3946 eV/atom
Total magnetization ... 0.000 μB per atom

Structure (CIF):
```
data_Ba2BeGa
_symmetry_space_group_name_H-M 'F -4 3 m'
_symmetry_Int_Tables_number 216
_symmetry_space_group_name_Hall 'F -4 2 3'
_cell_length_a 7.824
_cell_length_b 7.824
_cell_length_c 7.824
_cell_angle_alpha 90.00
_cell_angle_beta 90.00
_cell_angle_gamma 90.00
loop_
_atom_site_label
_atom_site_type_symbol
_atom_site_fract_x
_atom_site_fract_y
_atom_site_fract_z
Ba1 Ba 0.000 0.000 0.000
Ba2 Ba 0.250 0.250 0.250
Be1 Be 0.000 0.000 0.500
Ga1 Ga 0.250 0.250 0.750
```

***

No. 8
Entry from the Alexandria database: Ca2AlRe after structural relaxation (PBE).

Results
Crystal system ... orthorhombic
Energy of formation ... 0.4583 eV/atom
Total magnetization ... 0.000 μB per atom

Structure (CIF):
```
data_Ca2AlRe
_symmetry_space_group_name_H-M 'C m m m'
_symmetry_Int_Tables_number 65
_symmetry_space_group_name_Hall '-C 2 2'
_cell_length_a 4.000
_cell_length_b 4.287
_cell_length_c 9.865
_cell_angle_alpha 90.00
_cell_angle_beta 90.00
_cell_angle_gamma 90.00
loop_
_atom_site_label
_atom_site_type_symbol
_atom_site_fract_x
_atom_site_fract_y
_atom_site_fract_z
Ca1 Ca 0.000 0.000 0.244
Al1 Al 0.000 0.500 0.500
Re1 Re 0.000 0.500 0.000
```

***

No. 9
Entry from the Alexandria database: K2SiAg2Se4 after structural relaxation (PBE).

Results
Crystal system ... monoclinic
E_form (uncorrected) ... -0.3560 eV per atom
Total magnetization ... 0.000 μB per atom

Structure (CIF):
```
data_K2SiAg2Se4
_symmetry_space_group_name_H-M 'C 1 2/m 1'
_symmetry_Int_Tables_number 12
_cell_length_a 10.612
_cell_length_b 7.553
_cell_length_c 5.773
_cell_angle_alpha 90.00
_cell_angle_beta 100.53
_cell_angle_gamma 90.00
loop_
_symmetry_equiv_pos_as_xyz
'x,y,z'
'-x,-y,-z'
'-x,y,-z'
'x,-y,z'
'x+1/2,y+1/2,z'
'-x+1/2,-y+1/2,-z'
'-x+1/2,y+1/2,-z'
'x+1/2,-y+1/2,z'
loop_
_atom_site_label
_atom_site_type_symbol
_atom_site_fract_x
_atom_site_fract_y
_atom_site_fract_z
K1 K 0.133 0.000 0.285
Si1 Si 0.000 0.500 0.500
Ag1 Ag 0.137 0.500 0.133
Se1 Se 0.112 0.272 0.757
```

***

No. 10
Entry from the Alexandria database: Cs3Ca2InBr9 after structural relaxation (PBE).

Results
Crystal system ... trigonal
E_form (uncorrected) ... -1.6765 eV per atom
Total magnetization ... 0.000 μB per atom

Structure (CIF):
```
data_Cs3Ca2InBr9
_symmetry_space_group_name_H-M 'P -3 m 1'
_symmetry_Int_Tables_number 164
_symmetry_space_group_name_Hall '-P 3 2"'
_cell_length_a 8.1813
_cell_length_b 8.1813
_cell_length_c 10.0370
_cell_angle_alpha 90.00
_cell_angle_beta 90.00
_cell_angle_gamma 120.00
loop_
_atom_site_label
_atom_site_type_symbol
_atom_site_fract_x
_atom_site_fract_y
_atom_site_fract_z
Cs1 Cs 0.0000 0.0000 0.0000
Cs2 Cs 0.3333 0.6667 0.6611
Ca1 Ca 0.3333 0.6667 0.1631
In1 In 0.0000 0.0000 0.5000
Br1 Br 0.0000 0.5000 0.0000
Br2 Br 0.1685 0.3370 0.3345
```

***

No. 11
Entry from the Alexandria database: LiPrTl2Br6 after structural relaxation (PBE).

Results
Crystal system ... monoclinic
E_form (uncorrected) ... -1.4003 eV per atom
Total magnetization ... 0.000 μB per atom

Structure (CIF):
```
data_LiPrTl2Br6
_symmetry_space_group_name_H-M 'P 1 21/c 1'
_symmetry_Int_Tables_number 14
_cell_length_a 7.668
_cell_length_b 8.023
_cell_length_c 13.317
_cell_angle_alpha 90.00
_cell_angle_beta 124.54
_cell_angle_gamma 90.00
loop_
_symmetry_equiv_pos_as_xyz
'x,y,z'
'-x,-y,-z'
'-x,y+1/2,-z+1/2'
'x,-y+1/2,z+1/2'
loop_
_atom_site_label
_atom_site_type_symbol
_atom_site_fract_x
_atom_site_fract_y
_atom_site_fract_z
Li1 Li 0.000 0.000 0.000
Pr1 Pr 0.500 0.000 0.500
Tl1 Tl 0.223 0.074 0.745
Br1 Br 0.145 0.204 0.453
Br2 Br 0.251 0.698 0.452
Br3 Br 0.338 0.020 0.242
```

***

No. 12
Entry from the Alexandria database: Ni3Mo after structural relaxation (PBE).

Results
Crystal system ... tetragonal
Energy of formation ... -0.0728 eV/atom
Total magnetization ... 0.000 μB per atom

Structure (CIF):
```
data_Ni3Mo
_symmetry_space_group_name_H-M 'I 4/m m m'
_symmetry_Int_Tables_number 139
_symmetry_space_group_name_Hall '-I 4 2'
_cell_length_a 3.581
_cell_length_b 3.581
_cell_length_c 7.454
_cell_angle_alpha 90.00
_cell_angle_beta 90.00
_cell_angle_gamma 90.00
loop_
_atom_site_label
_atom_site_type_symbol
_atom_site_fract_x
_atom_site_fract_y
_atom_site_fract_z
Ni1 Ni 0.000 0.000 0.000
Ni2 Ni 0.000 0.500 0.250
Mo1 Mo 0.000 0.000 0.500
```